Record 1
This record from Alexandria describes a relaxed structure of Dy2YGa. The functional is PBE.

a = 6.2828 Å, b = 6.2828 Å, c = 9.1421 Å
α = 90.00°, β = 90.00°, γ = 140.89°
Closest atoms and distances in Å follow each position.
Atoms (fractional coordinates):
Dy  0.1439  0.8561  0.5578  3 Ga 3.04-3.05
Dy  0.1439  0.8561  0.9422  3 Ga 3.04-3.05
Dy  0.8561  0.1439  0.0578  3 Ga 3.04-3.05
Dy  0.8561  0.1439  0.4422  3 Ga 3.04-3.05
Y  0.4394  0.5606  0.7500  2 Ga 3.03
Y  0.5606  0.4394  0.2500  2 Ga 3.03
Ga  0.2443  0.7557  0.2500  2 Y 3.03, 6 Dy 3.04-3.05
Ga  0.7557  0.2443  0.7500  2 Y 3.03, 6 Dy 3.04-3.05

Summary:
Electronic total energy in eV per atom: -4.938
ΔE to the lowest computed polymorph in eV/f.u.: 0.050
ΔE_f in kJ/mol of formula units: -102
Density of states at the Fermi level in states/eV/f.u.: 5.871

=====

Record 2
This record from Alexandria describes a relaxed structure of Cs3Tl8Bi3. The functional is PBE.

a = 10.3609 Å, b = 10.3609 Å, c = 11.6515 Å
α = 123.75°, β = 123.75°, γ = 31.85°
Closest atoms and distances in Å follow each position.
Atoms (fractional coordinates):
Cs  0.0000  0.0000  0.0000  8 Tl 3.99-4.35, 4 Bi 4.10
Cs  0.3021  0.3021  0.3099  10 Tl 3.84-4.22, 5 Bi 3.98-4.30
Cs  0.6979  0.6979  0.6901  10 Tl 3.84-4.22, 5 Bi 3.98-4.30
Tl  0.1365  0.1365  0.8504  3 Tl 3.18-3.33, 1 Bi 3.35
Tl  0.1501  0.1501  0.4311  4 Bi 3.34-3.52
Tl  0.3266  0.3266  0.9735  4 Tl 3.18-3.43, 1 Bi 3.25
Tl  0.4992  0.4992  0.3124  3 Bi 3.28-3.58, 3 Tl 3.43-3.62
Tl  0.5008  0.5008  0.6876  3 Bi 3.28-3.58, 3 Tl 3.43-3.62
Tl  0.6734  0.6734  0.0265  4 Tl 3.18-3.43, 1 Bi 3.25
Tl  0.8499  0.8499  0.5689  4 Bi 3.34-3.52
Tl  0.8635  0.8635  0.1496  3 Tl 3.18-3.33, 1 Bi 3.35
Bi  0.0000  0.0000  0.5000  8 Tl 3.35-3.58
Bi  0.3459  0.3459  0.7147  5 Tl 3.25-3.35
Bi  0.6541  0.6541  0.2853  5 Tl 3.25-3.35

Summary:
Electronic total energy in eV per atom: -2.521
ΔE to the lowest computed polymorph in eV/f.u.: 0.000
ΔE_f in kJ/mol of formula units: -208
Density of states at the Fermi level in states/eV/f.u.: 5.936

=====

Record 3
This record from Alexandria describes a relaxed structure of PuInGa4. The functional is PBE.

a = 5.5979 Å, b = 5.5979 Å, c = 5.5979 Å
α = 60.00°, β = 60.00°, γ = 60.00°
Closest atoms and distances in Å follow each position.
Atoms (fractional coordinates):
Pu  0.0000  0.0000  0.0000  12 Ga 3.28, 4 In 3.43
In  0.7500  0.7500  0.7500  12 Ga 3.28, 4 Pu 3.43
Ga  0.3744  0.3744  0.3744  6 Ga 2.79-2.81
Ga  0.3744  0.3744  0.8767  6 Ga 2.79-2.81
Ga  0.3744  0.8767  0.3744  6 Ga 2.79-2.81
Ga  0.8767  0.3744  0.3744  6 Ga 2.79-2.81

Summary:
Electronic total energy in eV per atom: -4.984
ΔE to the lowest computed polymorph in eV/f.u.: 0.314
ΔE_f in kJ/mol of formula units: -70
Density of states at the Fermi level in states/eV/f.u.: 11.060

=====

Record 4
This record from Alexandria describes a relaxed structure of Al2ZnNi. The functional is PBE.

a = 2.7562 Å, b = 2.7562 Å, c = 7.4448 Å
α = 90.00°, β = 90.00°, γ = 90.00°
Closest atoms and distances in Å follow each position.
Atoms (fractional coordinates):
Al  0.0000  0.0000  0.0000  8 Al 2.76-2.89, 4 Zn 2.84
Al  0.5000  0.5000  0.2864  4 Ni 2.48, 4 Al 2.76
Zn  0.5000  0.5000  0.7222  4 Ni 2.59, 4 Zn 2.76, 4 Al 2.84
Ni  0.0000  0.0000  0.4930  4 Al 2.48, 4 Zn 2.59, 4 Ni 2.76

Summary:
Electronic total energy in eV per atom: -3.838
ΔE_f in kJ/mol of formula units: -78
Density of states at the Fermi level in states/eV/f.u.: 1.495

=====

Record 5
This record from Alexandria describes a relaxed structure of CuPPb2SO9. The functional is PBE.

a = 8.4893 Å, b = 5.7115 Å, c = 8.5035 Å
α = 90.00°, β = 110.92°, γ = 90.00°
Closest atoms and distances in Å follow each position.
Atoms (fractional coordinates):
Cu  0.0000  0.0000  0.0000  4 O 1.82-1.90
Cu  0.0000  0.5000  0.0000  4 O 1.82-1.90
P  0.3302  0.2500  0.0139  4 O 1.52-1.59
P  0.6698  0.7500  0.9861  4 O 1.52-1.59
Pb  0.2359  0.7500  0.7026  4 O 2.49-2.75
Pb  0.3774  0.7500  0.2660  2 O 2.42-2.51
Pb  0.6226  0.2500  0.7340  2 O 2.42-2.51
Pb  0.7641  0.2500  0.2974  4 O 2.49-2.75
S  0.1893  0.2500  0.4522  4 O 1.48-1.52
S  0.8107  0.7500  0.5478  4 O 1.48-1.52
O  0.0726  0.7500  0.1401  2 Cu 1.82
O  0.0760  0.2500  0.5505  1 S 1.48
O  0.0905  0.2500  0.2692  1 S 1.48
O  0.2171  0.0207  0.9839  1 P 1.59
O  0.2171  0.4793  0.9839  1 P 1.59
O  0.3023  0.0362  0.4984  1 S 1.52
O  0.3023  0.4638  0.4984  1 S 1.52
O  0.4163  0.2500  0.8848  1 P 1.52
O  0.4503  0.2500  0.1996  1 P 1.54
O  0.5497  0.7500  0.8004  1 P 1.54
O  0.5837  0.7500  0.1152  1 P 1.52
O  0.6977  0.5362  0.5016  1 S 1.52
O  0.6977  0.9638  0.5016  1 S 1.52
O  0.7829  0.5207  0.0161  1 P 1.59
O  0.7829  0.9793  0.0161  1 P 1.59
O  0.9095  0.7500  0.7308  1 S 1.48
O  0.9240  0.7500  0.4495  1 S 1.48
O  0.9274  0.2500  0.8599  2 Cu 1.82

Summary:
Electronic total energy in eV per atom: -6.144

=====

Record 6
This record from Alexandria describes a relaxed structure of ZnAs2W. The functional is PBE.

a = 3.2619 Å, b = 3.2539 Å, c = 6.3843 Å
α = 90.00°, β = 97.92°, γ = 90.00°
Closest atoms and distances in Å follow each position.
Atoms (fractional coordinates):
Zn  0.0000  0.0000  0.0000  4 As 2.67
As  0.4448  0.5000  0.2751  2 Zn 2.67, 4 W 2.70-2.72, 1 As 2.84
As  0.5552  0.5000  0.7249  2 Zn 2.67, 4 W 2.70-2.72, 1 As 2.84
W  0.0000  0.0000  0.5000  8 As 2.70-2.72

Summary:
Electronic total energy in eV per atom: -5.751
ΔE_f in kJ/mol of formula units: 51
Density of states at the Fermi level in states/eV/f.u.: 1.327

=====

Record 7
This record from Alexandria describes a relaxed structure of LaPm2YTh. The functional is PBE.

a = 8.6607 Å, b = 6.4978 Å, c = 6.4511 Å
α = 90.00°, β = 98.85°, γ = 90.00°
Closest atoms and distances in Å follow each position.
Atoms (fractional coordinates):
La  0.0000  0.0000  0.0000  2 La 3.23, 2 Th 3.35, 2 Pm 3.49
La  0.0000  0.0000  0.5000  2 La 3.23, 2 Th 3.35, 2 Pm 3.49
Pm  0.3150  0.3151  0.1995  1 Pm 3.17, 1 Th 3.18, 1 La 3.49, 1 Y 3.53
Pm  0.3150  0.6849  0.6995  1 Pm 3.17, 1 Th 3.18, 1 La 3.49, 1 Y 3.53
Pm  0.6850  0.3151  0.3005  1 Pm 3.17, 1 Th 3.18, 1 La 3.49, 1 Y 3.53
Pm  0.6850  0.6849  0.8005  1 Pm 3.17, 1 Th 3.18, 1 La 3.49, 1 Y 3.53
Y  0.5000  0.1699  0.7500  8 Pm 3.53-3.78, 2 Y 3.91
Y  0.5000  0.8301  0.2500  8 Pm 3.53-3.78, 2 Y 3.91
Th  0.0000  0.4525  0.7500  2 Pm 3.18, 2 Th 3.28, 2 La 3.35
Th  0.0000  0.5475  0.2500  2 Pm 3.18, 2 Th 3.28, 2 La 3.35

Summary:
Electronic total energy in eV per atom: -5.373
ΔE_f in kJ/mol of formula units: 140
Density of states at the Fermi level in states/eV/f.u.: 7.177

=====

Record 8
This record from Alexandria describes a relaxed structure of V3GaP. The functional is PBE.

a = 5.2846 Å, b = 5.2846 Å, c = 7.1928 Å
α = 111.79°, β = 111.79°, γ = 50.08°
Closest atoms and distances in Å follow each position.
Atoms (fractional coordinates):
V  0.1333  0.1333  0.1483  1 P 2.31, 2 V 2.55-2.57
V  0.1759  0.1759  0.8001  2 P 2.36-2.44, 3 Ga 2.57-2.61
V  0.3480  0.3480  0.5052  3 P 2.30, 1 V 2.55
V  0.6520  0.6520  0.4948  3 P 2.30, 1 V 2.55
V  0.8241  0.8241  0.1999  2 P 2.36-2.44, 3 Ga 2.57-2.61
V  0.8667  0.8667  0.8517  1 P 2.31, 2 V 2.55-2.57
Ga  0.4285  0.4285  0.1200  6 V 2.57-2.85, 1 Ga 2.61
Ga  0.5715  0.5715  0.8800  6 V 2.57-2.85, 1 Ga 2.61
P  0.0919  0.0919  0.4423  1 P 2.23, 6 V 2.30-2.44
P  0.9081  0.9081  0.5577  1 P 2.23, 6 V 2.30-2.44

Summary:
Electronic total energy in eV per atom: -7.361
ΔE to the lowest computed polymorph in eV/f.u.: 0.000
ΔE_f in kJ/mol of formula units: -98
Density of states at the Fermi level in states/eV/f.u.: 4.513

=====

> What is the formula in the second record?

Cs3Tl8Bi3

=====

> electronic total energy of number 7 (LaPm2YTh)?

-5.373 eV per atom

=====

> Look up the electronic total energy of the eighth one.

-7.361 eV per atom

=====

Copy entry 6 word for word.
This record from Alexandria describes a relaxed structure of ZnAs2W. The functional is PBE.

a = 3.2619 Å, b = 3.2539 Å, c = 6.3843 Å
α = 90.00°, β = 97.92°, γ = 90.00°
Closest atoms and distances in Å follow each position.
Atoms (fractional coordinates):
Zn  0.0000  0.0000  0.0000  4 As 2.67
As  0.4448  0.5000  0.2751  2 Zn 2.67, 4 W 2.70-2.72, 1 As 2.84
As  0.5552  0.5000  0.7249  2 Zn 2.67, 4 W 2.70-2.72, 1 As 2.84
W  0.0000  0.0000  0.5000  8 As 2.70-2.72

Summary:
Electronic total energy in eV per atom: -5.751
ΔE_f in kJ/mol of formula units: 51
Density of states at the Fermi level in states/eV/f.u.: 1.327